First-principles (PBE-GGA) data for a relaxed LiYTaBr2 crystal, as listed in the Alexandria database.

As for the energy relative to the elements, uncorrected: 45 kJ per mole of atoms.

Structure (extended XYZ):
```
5
Lattice="-1.901 4.600 -0.046 -0.566 -0.289 -5.462 -4.572 -1.884 0.574" Properties=species:S:1:pos:R:3 pbc="T T T"
Y -3.520 1.214 -2.467
Br -2.286 -0.942 0.287
Li -0.283 -0.144 -2.731
Ta 0.000 0.000 0.000
Br -0.951 2.300 -0.023
```

=====

First-principles (PBE-GGA) data for a relaxed NdAlCo4 crystal, as listed in the Alexandria database.

Structure (extended XYZ):
```
6
Lattice="2.574 -4.459 0.000 2.574 4.459 0.000 0.000 0.000 3.869" Properties=species:S:1:pos:R:3 pbc="T T T"
Co 3.831 -2.212 1.935
Co 1.317 -2.212 1.935
Co 2.574 -0.035 1.935
Co 2.574 -1.486 0.000
Al 2.574 1.486 0.000
Nd 0.000 0.000 0.000
```

=====

First-principles (PBE-GGA) data for a relaxed Pm3SnRh3 crystal, as listed in the Alexandria database.

Structure (extended XYZ):
```
14
Lattice="4.454 0.000 0.000 -2.227 5.273 0.000 0.000 0.000 13.528" Properties=species:S:1:pos:R:3 pbc="T T T"
Sn 2.227 0.000 0.000
Rh 2.227 4.339 8.033
Rh 2.227 2.675 10.146
Rh 0.000 0.934 1.269
Pm 2.227 0.183 3.382
Pm 0.000 2.140 8.190
Pm 2.227 3.133 1.426
Pm 0.000 5.090 10.146
Rh 2.227 4.339 12.259
Pm 0.000 2.140 12.102
Sn 2.227 0.000 6.764
Rh 0.000 2.598 3.382
Pm 2.227 3.133 5.338
Rh 0.000 0.934 5.495
```

=====

First-principles (PBE-GGA) data for a relaxed BaCd6Au6 crystal, as listed in the Alexandria database.

Structure (extended XYZ):
```
13
Lattice="-4.274 -3.770 -1.428 0.528 -6.632 3.842 -5.827 0.131 5.006" Properties=species:S:1:pos:R:3 pbc="T T T"
Cd -2.914 0.066 2.503
Au -1.682 -4.280 4.247
Cd 0.264 -3.316 1.921
Cd -1.873 -5.201 1.207
Au -3.617 -2.221 4.601
Cd -5.050 -1.819 1.789
Ba 0.000 0.000 0.000
Cd -6.272 -3.554 3.982
Au -7.275 -7.957 6.522
Au -4.604 -4.650 1.883
Au -4.969 -5.621 5.536
Cd -3.300 -6.717 3.438
Au -2.298 -2.313 0.898
```

=====

First-principles (PBE-GGA) data for a relaxed Ac6Pd2RhI3 crystal, as listed in the Alexandria database.

As for the energy relative to the elements, uncorrected: -97 kJ per mole of atoms.

Structure (extended XYZ):
```
12
Lattice="-6.570 -3.972 0.638 3.223 1.030 -6.921 5.644 -6.345 3.113" Properties=species:S:1:pos:R:3 pbc="T T T"
I 1.148 -4.643 -1.585
Rh 0.000 0.000 0.000
Ac -1.290 -2.658 0.397
Pd -3.306 -2.305 -1.881
I 4.412 -2.976 -4.104
Ac 1.892 -1.032 -2.059
Ac 0.405 -8.254 -1.110
Ac 3.587 -6.629 -3.567
Ac -1.414 -3.354 -4.051
Ac 3.711 -5.933 0.881
Pd -0.041 -0.637 -4.401
I -2.115 -6.310 0.935
```

=====

First-principles (PBE-GGA) data for a relaxed LiRh2AuN crystal, as listed in the Alexandria database.

As for the energy relative to the elements, uncorrected: -12 kJ per mole of atoms.

Structure (extended XYZ):
```
5
Lattice="-0.791 0.412 -3.866 3.090 -2.328 -0.880 -2.554 -3.448 0.156" Properties=species:S:1:pos:R:3 pbc="T T T"
Au -0.128 -2.682 -2.295
Rh -0.396 0.206 -1.933
Li -1.277 -1.724 0.078
Rh 1.545 -1.164 -0.440
N 0.000 0.000 0.000
```

=====

Number 1: raw total energy -4.25 eV per atom. Number 2: raw total energy -6.34 eV per atom. Number 3: raw total energy -6.52 eV per atom. Number 4: raw total energy -2.31 eV per atom. Number 5: raw total energy -4.92 eV per atom. Number 6: raw total energy -5.77 eV per atom.